## NaGdMgPb (PBE-GGA)

Data for a relaxed NaGdMgPb crystal.

Values from the calculation:
N(E_F)   2.80 states/eV per cell
Energy of formation from the pure elements   -0.180 eV per atom
Space-group type   F-43m (216)
Crystal system   cubic

abc: 5.391 5.391 5.391
angles: 60.00 60.00 60.00
Fractional positions:
Na 0.000 0.000 0.000
Gd 0.500 0.500 0.500
Mg 0.750 0.750 0.750
Pb 0.250 0.250 0.250